# Rb3Ni2IrO6 (PBE with a Hubbard U, relaxed)
data_Rb3Ni2IrO6
_cell_length_a 5.6067
_cell_length_b 9.7177
_cell_length_c 6.4604
_cell_angle_alpha 90.00
_cell_angle_beta 106.75
_cell_angle_gamma 90.00
_space_group_name_H-M_alt 'C 1 2/m 1'
_space_group_IT_number 12
loop_
_space_group_symop_operation_xyz
'x,y,z'
'-x,-y,-z'
'-x,y,-z'
'x,-y,z'
'x+1/2,y+1/2,z'
'-x+1/2,-y+1/2,-z'
'-x+1/2,y+1/2,-z'
'x+1/2,-y+1/2,z'
loop_
_atom_site_label
_atom_site_fract_x
_atom_site_fract_y
_atom_site_fract_z
Rb1 0.0000 0.0000 0.0000
Rb2 0.0000 0.3297 0.0000
Ni1 0.0000 0.1663 0.5000
Ir1 0.0000 0.5000 0.5000
O1 0.2118 0.3434 0.6635
O2 0.2422 0.0000 0.6661
# Final energy ... -4.884 eV/atom